Entry 1:
{"formula": "Nb3SeI6Cl", "functional": "PBE", "state": "optimized geometry", "space_group": "P3m1", "dft_energy_ha_per_atom": -0.1738, "crystal_system": "trigonal", "magnetic_moment_mub_per_fu": 0.0, "lattice": [[7.540, 0.000, 0.000], [-3.770, 6.530, 0.000], [0.000, 0.000, 7.226]], "species": ["I", "Nb", "I", "I", "Cl", "Nb", "Se", "Nb", "I", "I", "I"], "frac_coords": [[0.830, 0.170, 0.239], [0.732, 0.866, 0.499], [0.502, 0.005, 0.720], [0.502, 0.498, 0.720], [0.333, 0.667, 0.342], [0.134, 0.866, 0.499], [0.000, 0.000, 0.754], [0.134, 0.268, 0.499], [0.830, 0.661, 0.239], [0.995, 0.498, 0.720], [0.339, 0.170, 0.239]]}

Entry 2:
{"formula": "NdICl2", "functional": "PBE", "state": "optimized geometry", "space_group": "Cmcm", "dft_energy_ha_per_atom": -0.1642, "relative_energy_kj_per_mol_fu": 5, "crystal_system": "orthorhombic", "magnetic_moment_mub_per_fu": 0.0, "lattice": [[-1.383, 6.762, 0.913], [-0.211, -6.326, 2.899], [8.110, 1.220, 3.252]], "species": ["Cl", "Cl", "Cl", "Nd", "Cl", "I", "I", "Nd"], "frac_coords": [[0.335, 0.665, 0.930], [0.665, 0.335, 0.070], [0.335, 0.665, 0.570], [0.257, 0.743, 0.250], [0.665, 0.335, 0.430], [0.935, 0.065, 0.250], [0.065, 0.935, 0.750], [0.743, 0.257, 0.750]]}

Entry 3:
{"formula": "NdICl2", "functional": "PBE", "state": "optimized geometry", "space_group": "P2_1/m", "dft_energy_ha_per_atom": -0.1647, "relative_energy_kj_per_mol_fu": 0, "crystal_system": "monoclinic", "magnetic_moment_mub_per_fu": 0.0, "lattice": [[-0.068, -7.377, 0.308], [2.442, 0.129, 3.635], [-5.965, 3.565, 3.881]], "species": ["Cl", "I", "Cl", "Cl", "I", "Cl", "Nd", "Nd"], "frac_coords": [[0.091, 0.750, 0.175], [0.759, 0.750, 0.432], [0.396, 0.250, 0.083], [0.604, 0.750, 0.917], [0.241, 0.250, 0.568], [0.909, 0.250, 0.825], [0.175, 0.750, 0.843], [0.825, 0.250, 0.157]]}

Entry 4:
{"formula": "Nd2IClO2", "functional": "PBE", "state": "optimized geometry", "space_group": "P4mm", "dft_energy_ha_per_atom": -0.2435, "crystal_system": "tetragonal", "magnetic_moment_mub_per_fu": 0.0, "lattice": [[-2.534, 2.852, 1.384], [0.598, -1.310, 3.794], [6.000, 4.960, 0.768]], "species": ["Nd", "Cl", "Nd", "I", "O", "O"], "frac_coords": [[0.500, 0.500, 0.836], [0.000, 0.000, 0.672], [0.000, 0.000, 0.135], [0.500, 0.500, 0.377], [0.500, 0.000, 0.990], [0.000, 0.500, 0.990]]}

Entry 5:
{"formula": "NpI2Cl2", "functional": "PBE", "state": "optimized geometry", "space_group": "Immm", "dft_energy_ha_per_atom": -0.1874, "crystal_system": "orthorhombic", "magnetic_moment_mub_per_fu": 3.0, "lattice": [[-4.434, 4.434, 5.084], [4.434, -4.434, 5.084], [4.434, 4.434, -5.084]], "species": ["I", "Cl", "I", "I", "Np", "Cl", "Cl", "Cl", "I", "Np"], "frac_coords": [[0.205, 0.205, 0.000], [0.260, 0.281, 0.541], [0.288, 0.788, 0.500], [0.712, 0.212, 0.500], [0.254, 0.000, 0.254], [0.740, 0.281, 0.021], [0.260, 0.719, 0.979], [0.740, 0.719, 0.459], [0.795, 0.795, 0.000], [0.746, 0.000, 0.746]]}

Entry 6:
{"formula": "Pm2IClO2", "functional": "PBE", "state": "optimized geometry", "space_group": "P4mm", "dft_energy_ha_per_atom": -0.2439, "crystal_system": "tetragonal", "magnetic_moment_mub_per_fu": 0.0, "lattice": [[4.025, 0.000, 0.000], [0.000, 4.025, 0.000], [0.000, 0.000, 7.751]], "species": ["Pm", "Cl", "O", "Pm", "O", "I"], "frac_coords": [[0.000, 0.000, 0.864], [0.000, 0.000, 0.330], [0.500, 0.000, 0.009], [0.500, 0.500, 0.164], [0.000, 0.500, 0.009], [0.500, 0.500, 0.624]]}